Record 1
The following is a PBE calculation of crystalline BPBr2 at its relaxed geometry, from Alexandria via LeMat-Bulk.

The space group is Fm-3m (225). As for the energy above the most stable polymorph in this dataset: 0.524 eV/atom.

Cell and atoms, written as POSCAR:
```
BPBr2
1.0
0.0000 3.3802 3.3802
3.3802 0.0000 3.3802
3.3802 3.3802 0.0000
B Br P
1 2 1
Cartesian
0.0000 0.0000 0.0000
1.6901 1.6901 1.6901
5.0703 5.0703 5.0703
3.3802 3.3802 3.3802
```

---

Record 2
The following is a PBE calculation of crystalline BPBr2 at its relaxed geometry, from Alexandria via LeMat-Bulk.

The space group is R-3m (166). As for the energy above the most stable polymorph in this dataset: 0.000 eV/atom.

Cell and atoms, written as POSCAR:
```
BPBr2
1.0
1.9562 0.0000 9.3489
-0.9781 1.6941 9.3489
-0.9781 -1.6941 9.3489
B P Br
1 1 2
Cartesian
0.0000 0.0000 0.0000
0.0000 0.0000 14.0234
0.0000 0.0000 26.2328
0.0000 0.0000 1.8140
```

---

Record 3
The following is a PBE calculation of crystalline Pm8BP3Br4 at its relaxed geometry, from Alexandria via LeMat-Bulk.

The space group is R-3m (166).

Cell and atoms, written as POSCAR:
```
Pm8BP3Br4
1.0
8.2057 0.0000 0.0000
0.0000 8.6783 0.3337
-4.1028 -4.1043 5.8011
B Pm Br P
1 8 4 3
Cartesian
0.0000 4.3391 0.1668
4.1028 0.3540 3.3195
0.0000 4.2200 2.8153
1.9319 2.5257 0.2502
0.0000 0.4106 3.1907
4.1028 4.1634 2.9441
-2.1709 2.0483 5.8846
2.1709 2.0483 5.8846
6.2738 2.5257 0.2502
4.1028 0.0000 0.0000
0.0000 0.0000 0.0000
-2.0514 -2.0521 2.9005
2.0514 -2.0521 2.9005
4.1028 4.3391 0.1668
2.0514 2.2870 3.0674
-2.0514 2.2870 3.0674
```

---

Record 4
The following is a PBE calculation of crystalline Pm4BPBr2 at its relaxed geometry, from Alexandria via LeMat-Bulk.

The space group is P2/m (10).

Cell and atoms, written as POSCAR:
```
Pm4BPBr2
1.0
4.0523 0.0000 0.0000
0.0000 7.0424 0.1322
0.0000 -2.4622 7.2634
Br Pm P B
2 4 1 1
Cartesian
0.0000 2.2901 3.6978
2.0261 -1.2311 3.6317
0.0000 4.7855 1.5376
2.0261 3.5504 5.9627
0.0000 -0.2052 5.8579
2.0261 1.0299 1.4329
2.0261 3.5212 0.0661
0.0000 0.0000 0.0000
```

---

Record 5
The following is a PBE calculation of crystalline Pm6B2PBr3 at its relaxed geometry, from Alexandria via LeMat-Bulk.

The space group is C2/m (12).

Cell and atoms, written as POSCAR:
```
Pm6B2PBr3
1.0
-1.4724 -6.8232 0.3269
5.4843 2.2202 -3.7180
2.9153 0.8998 7.0257
P Pm Br B
1 6 3 2
Cartesian
0.0000 0.0000 0.0000
4.1740 -4.3577 3.7851
3.4330 -3.1130 -1.0556
3.4942 -0.5902 4.6901
2.7532 0.6545 -0.1505
6.6123 -1.1880 2.3673
0.3149 -2.5152 1.2672
5.8014 1.1873 0.4580
3.4636 -1.8516 1.8173
1.1259 -4.8905 3.1765
3.1664 -0.7930 -2.3703
0.8456 -3.8100 -1.0209
```

---

Record 6
The following is a PBE calculation of crystalline BP2PtBr at its relaxed geometry, from Alexandria via LeMat-Bulk.

The space group is P4/mmm (123).

Cell and atoms, written as POSCAR:
```
BP2PtBr
1.0
-0.6040 -1.7980 4.5257
3.9213 0.6222 0.7705
-1.0388 4.5030 1.6504
P Pt B Br
2 1 1 1
Cartesian
-0.3020 -0.8990 2.2628
-0.5194 2.2515 0.8252
0.0000 0.0000 0.0000
1.9606 0.3111 0.3852
1.1392 1.6636 3.4733
```

---

So what do the calculations give for spin magnetization? Going down the list: 0.0; 0.0; 0.0; 0.0; 0.0; 0.0 μB per cell.
So what do the calculations give for formation energy from raw total energies? Going down the list: 1.529; 1.005; -1.339; -1.158; -1.029; 0.848 eV per atom.
So what do the calculations give for D(E_F)? Going down the list: 3.267; 1.538; 6.553; 3.163; 4.608; 3.657 states/eV/cell.